A geometry-optimized ScTaCl structure. Source: Alexandria via LeMat-Bulk, functional PBE.

It has space group F-43m (No. 216), with a = 6.156 Å, b = 6.156 Å, c = 6.156 Å, α = 90.00°, β = 90.00° and γ = 90.00°. The distinct sites, in fractional coordinates, are Sc at (0.000, 0.000, 0.000), Ta at (0.000, 0.000, 0.500) and Cl at (0.250, 0.250, 0.750).

The calculation puts the raw formation energy at 0.536 eV/atom.